[1]
Density functional theory data (PBE) for crystalline Sr3In6Bi5 at its relaxed geometry.

The structure in CIF format:
```
data_Sr3In6Bi5
_symmetry_space_group_name_H-M 'P 1'
_symmetry_Int_Tables_number 1
_symmetry_space_group_name_Hall 'P 1'
_cell_length_a 4.671
_cell_length_b 12.859
_cell_length_c 15.646
_cell_angle_alpha 90.00
_cell_angle_beta 90.00
_cell_angle_gamma 90.00
loop_
_atom_site_label
_atom_site_fract_x
_atom_site_fract_y
_atom_site_fract_z
In1 0.500 0.447 0.850
In2 0.500 0.034 0.000
Sr1 0.500 0.669 0.500
Bi1 0.500 0.395 0.656
Sr2 0.000 0.194 0.670
In3 0.500 0.615 0.000
Bi2 0.000 0.858 0.000
In4 0.500 0.978 0.337
In5 0.000 0.022 0.837
In6 0.000 0.553 0.350
Bi3 0.000 0.605 0.156
Bi4 0.500 0.200 0.852
Sr3 0.500 0.806 0.830
Bi5 0.000 0.605 0.844
Sr4 0.000 0.194 0.330
In7 0.000 0.553 0.650
Bi6 0.000 0.800 0.352
Bi7 0.500 0.395 0.344
In8 0.500 0.447 0.150
Bi8 0.500 0.142 0.500
In9 0.000 0.966 0.500
In10 0.500 0.978 0.663
In11 0.000 0.385 0.500
Sr5 0.000 0.331 0.000
Sr6 0.500 0.806 0.170
Bi9 0.000 0.800 0.648
Bi10 0.500 0.200 0.148
In12 0.000 0.022 0.163
```

Calculated values
As for the energy: -3.215 eV per atom. For the density of states at the Fermi level, the calculation gives 0.372 states/eV per atom.

---

[2]
Density functional theory data (PBE) for crystalline SrInBi2 at its relaxed geometry.

The structure in CIF format:
```
data_SrInBi2
_symmetry_space_group_name_H-M 'P 1'
_symmetry_Int_Tables_number 1
_symmetry_space_group_name_Hall 'P 1'
_cell_length_a 8.707
_cell_length_b 8.707
_cell_length_c 7.187
_cell_angle_alpha 52.72
_cell_angle_beta 52.72
_cell_angle_gamma 90.00
loop_
_atom_site_label
_atom_site_fract_x
_atom_site_fract_y
_atom_site_fract_z
Bi1 0.875 0.915 0.750
Sr1 0.500 0.500 0.000
Bi2 0.665 0.125 0.250
Bi3 0.085 0.625 0.250
Bi4 0.375 0.335 0.750
In1 0.750 0.250 0.500
In2 0.000 0.000 0.000
Sr2 0.250 0.750 0.500
```

Calculated values
As for the energy: -3.349 eV per atom. For the density of states at the Fermi level, the calculation gives 0.829 states/eV per atom.

---

[3]
Density functional theory data (PBE) for crystalline Sr4In2Bi at its relaxed geometry.

The structure in CIF format:
```
data_Sr4In2Bi
_symmetry_space_group_name_H-M 'P 1'
_symmetry_Int_Tables_number 1
_symmetry_space_group_name_Hall 'P 1'
_cell_length_a 6.466
_cell_length_b 6.466
_cell_length_c 9.255
_cell_angle_alpha 69.55
_cell_angle_beta 69.55
_cell_angle_gamma 90.00
loop_
_atom_site_label
_atom_site_fract_x
_atom_site_fract_y
_atom_site_fract_z
Sr1 0.201 0.201 0.598
Bi1 0.000 0.000 0.000
Sr2 0.500 0.000 0.000
Sr3 0.000 0.500 0.000
Sr4 0.799 0.799 0.402
In1 0.407 0.407 0.186
In2 0.593 0.593 0.814
```

Calculated values
As for the energy: -2.541 eV per atom. For the density of states at the Fermi level, the calculation gives 1.335 states/eV per atom.

---

[4]
Density functional theory data (PBE) for crystalline SrIn3Bi3 at its relaxed geometry.

The structure in CIF format:
```
data_SrIn3Bi3
_symmetry_space_group_name_H-M 'P 1'
_symmetry_Int_Tables_number 1
_symmetry_space_group_name_Hall 'P 1'
_cell_length_a 8.411
_cell_length_b 8.411
_cell_length_c 8.411
_cell_angle_alpha 90.00
_cell_angle_beta 90.00
_cell_angle_gamma 90.00
loop_
_atom_site_label
_atom_site_fract_x
_atom_site_fract_y
_atom_site_fract_z
In1 0.000 0.500 0.250
Bi1 0.750 0.500 0.000
In2 0.250 0.000 0.500
Bi2 0.000 0.750 0.500
In3 0.000 0.500 0.750
Bi3 0.250 0.500 0.000
Bi4 0.500 0.000 0.250
Sr1 0.500 0.500 0.500
In4 0.500 0.250 0.000
In5 0.750 0.000 0.500
Bi5 0.500 0.000 0.750
Sr2 0.000 0.000 0.000
In6 0.500 0.750 0.000
Bi6 0.000 0.250 0.500
```

Calculated values
As for the energy: -3.002 eV per atom. For the density of states at the Fermi level, the calculation gives 0.409 states/eV per atom.

---

[5]
Density functional theory data (PBE) for crystalline Sr5InBi4 at its relaxed geometry.

The structure in CIF format:
```
data_Sr5InBi4
_symmetry_space_group_name_H-M 'P 1'
_symmetry_Int_Tables_number 1
_symmetry_space_group_name_Hall 'P 1'
_cell_length_a 5.744
_cell_length_b 8.034
_cell_length_c 12.451
_cell_angle_alpha 131.85
_cell_angle_beta 103.34
_cell_angle_gamma 90.00
loop_
_atom_site_label
_atom_site_fract_x
_atom_site_fract_y
_atom_site_fract_z
Bi1 0.991 0.717 0.981
Sr1 0.166 0.851 0.331
Bi2 0.686 0.124 0.372
Sr2 0.152 0.300 0.304
Sr3 0.500 0.500 0.000
Sr4 0.834 0.149 0.669
Bi3 0.009 0.283 0.019
Bi4 0.314 0.876 0.628
In1 0.500 0.000 0.000
Sr5 0.848 0.700 0.696
```

Calculated values
As for the energy: -3.347 eV per atom. For the density of states at the Fermi level, the calculation gives 0.403 states/eV per atom.

---

[6]
Density functional theory data (PBE) for crystalline Sr6In2Bi at its relaxed geometry.

The structure in CIF format:
```
data_Sr6In2Bi
_symmetry_space_group_name_H-M 'P 1'
_symmetry_Int_Tables_number 1
_symmetry_space_group_name_Hall 'P 1'
_cell_length_a 9.916
_cell_length_b 9.916
_cell_length_c 9.916
_cell_angle_alpha 104.07
_cell_angle_beta 110.62
_cell_angle_gamma 113.87
loop_
_atom_site_label
_atom_site_fract_x
_atom_site_fract_y
_atom_site_fract_z
Sr1 0.909 0.731 0.178
In1 0.343 0.000 0.343
Sr2 0.798 0.755 0.553
In2 0.657 0.000 0.657
Sr3 0.202 0.245 0.447
Sr4 0.091 0.269 0.822
Bi1 0.000 0.000 0.000
In3 0.500 0.621 0.121
Sr5 0.699 0.034 0.335
Sr6 0.202 0.755 0.957
Sr7 0.552 0.731 0.822
Sr8 0.448 0.269 0.178
Sr9 0.798 0.245 0.043
Bi2 0.000 0.500 0.500
Sr10 0.301 0.635 0.335
In4 0.500 0.379 0.879
Sr11 0.699 0.365 0.665
Sr12 0.301 0.966 0.665
```

Calculated values
As for the energy: -2.574 eV per atom. For the density of states at the Fermi level, the calculation gives 0.828 states/eV per atom.

---

Question: What is the formula in the sixth record?
Answer: Sr6In2Bi

---

Question: What is the formula in the first record?
Answer: Sr3In6Bi5